1.
{
  "formula": "NiBIrPt",
  "functional": "PBE-GGA",
  "state": "relaxed",
  "space_group": "F-43m",
  "lattice_angstrom": [[0.0000, 2.8750, 2.8750], [2.8750, 0.0000, 2.8750], [2.8750, 2.8750, 0.0000]],
  "species": ["Ni", "B", "Ir", "Pt"],
  "fractional_positions": [[0.0000, 0.0000, 0.0000], [0.5000, 0.5000, 0.5000], [0.7500, 0.7500, 0.7500], [0.2500, 0.2500, 0.2500]]
}


2.
{
  "formula": "ScNiBIr",
  "functional": "PBE-GGA",
  "state": "relaxed",
  "space_group": "F-43m",
  "lattice_angstrom": [[0.0000, 2.9872, 2.9872], [2.9872, 0.0000, 2.9872], [2.9872, 2.9872, 0.0000]],
  "species": ["Sc", "Ni", "B", "Ir"],
  "fractional_positions": [[0.0000, 0.0000, 0.0000], [0.5000, 0.5000, 0.5000], [0.2500, 0.2500, 0.2500], [0.7500, 0.7500, 0.7500]]
}


3.
{
  "formula": "ScNiBIr",
  "functional": "PBE-GGA",
  "state": "relaxed",
  "space_group": "F-43m",
  "lattice_angstrom": [[0.0000, 2.9308, 2.9308], [2.9308, 0.0000, 2.9308], [2.9308, 2.9308, 0.0000]],
  "species": ["Sc", "Ni", "B", "Ir"],
  "fractional_positions": [[0.0000, 0.0000, 0.0000], [0.2500, 0.2500, 0.2500], [0.7500, 0.7500, 0.7500], [0.5000, 0.5000, 0.5000]]
}


Asked for excess energy over the best structure of this formula in the dataset across the records above, the calculation gives 0; 375; 0 meV/atom in order.
Asked for DFT total energy across the records above, the calculation gives -6.50; -6.61; -6.98 eV/atom in order.
Asked for total magnetic moment across the records above, the calculation gives 0.5; 0.0; 0.0 μB/f.u. in order.